## a
! Dy4In3Ag PBE relaxed; values from VASP
&SYSTEM
  ibrav = 0, nat = 8, ntyp = 3
/
ATOMIC_SPECIES
Dy 162.50 Dy.upf
In 114.82 In.upf
Ag 107.87 Ag.upf
ATOMIC_POSITIONS angstrom
Dy 0.000 0.000 1.860
Dy 0.000 0.000 6.035
Dy 0.000 0.000 10.237
Dy 0.000 0.000 14.411
In 1.784 1.784 3.926
In 1.784 1.784 8.136
In 1.784 1.784 12.345
Ag 1.784 1.784 0.000
CELL_PARAMETERS angstrom
3.568 0.000 0.000
0.000 3.568 0.000
0.000 0.000 16.271
! **Crystal system**: tetragonal
! **Space-group type**: P4/mmm

## b
! Dy4In3Ag PBE relaxed; values from VASP
&SYSTEM
  ibrav = 0, nat = 8, ntyp = 3
/
ATOMIC_SPECIES
Dy 162.50 Dy.upf
In 114.82 In.upf
Ag 107.87 Ag.upf
ATOMIC_POSITIONS angstrom
Dy 0.000 0.000 0.000
Dy 0.000 2.399 3.494
Dy 1.886 0.000 5.712
Dy 1.886 2.399 9.527
In 0.000 0.000 8.589
In 0.000 2.399 6.702
In 1.886 2.399 0.825
Ag 1.886 0.000 2.630
CELL_PARAMETERS angstrom
3.771 0.000 0.000
0.000 4.798 0.000
0.000 0.000 11.863
! **Crystal system**: orthorhombic
! **Space-group type**: Pmm2

In order of decreasing stability: a, b.

## a
! DyInAgPb PBE relaxed; values from VASP
&SYSTEM
  ibrav = 0, nat = 4, ntyp = 4
/
ATOMIC_SPECIES
Dy 162.50 Dy.upf
In 114.82 In.upf
Ag 107.87 Ag.upf
Pb 207.20 Pb.upf
ATOMIC_POSITIONS angstrom
Dy 0.000 0.000 0.000
In 3.696 3.696 3.696
Ag 5.545 5.545 5.545
Pb 1.848 1.848 1.848
CELL_PARAMETERS angstrom
0.000 3.696 3.696
3.696 0.000 3.696
3.696 3.696 0.000
! **Crystal system**: cubic
! **Space-group type**: F-43m

## b
! DyInAgPb PBE relaxed; values from VASP
&SYSTEM
  ibrav = 0, nat = 4, ntyp = 4
/
ATOMIC_SPECIES
Dy 162.50 Dy.upf
In 114.82 In.upf
Ag 107.87 Ag.upf
Pb 207.20 Pb.upf
ATOMIC_POSITIONS angstrom
Dy 0.000 0.000 0.000
In 2.248 0.000 2.406
Ag 0.000 2.261 2.406
Pb 2.248 2.261 0.000
CELL_PARAMETERS angstrom
4.496 0.000 0.000
0.000 4.521 0.000
0.000 0.000 4.812
! **Crystal system**: orthorhombic
! **Space-group type**: Pmmm

In order of decreasing stability: b, a.

## a
! PmDyInAg PBE relaxed; values from VASP
&SYSTEM
  ibrav = 0, nat = 4, ntyp = 4
/
ATOMIC_SPECIES
Pm 145.00 Pm.upf
Dy 162.50 Dy.upf
In 114.82 In.upf
Ag 107.87 Ag.upf
ATOMIC_POSITIONS angstrom
Pm 0.000 0.000 0.000
Dy 0.000 0.000 4.122
In 1.831 1.831 2.110
Ag 1.831 1.831 5.821
CELL_PARAMETERS angstrom
3.663 0.000 0.000
0.000 3.663 0.000
0.000 0.000 7.843
! **Crystal system**: tetragonal
! **Space-group type**: P4mm

## b
! PmDyInAg PBE relaxed; values from VASP
&SYSTEM
  ibrav = 0, nat = 4, ntyp = 4
/
ATOMIC_SPECIES
Pm 145.00 Pm.upf
Dy 162.50 Dy.upf
In 114.82 In.upf
Ag 107.87 Ag.upf
ATOMIC_POSITIONS angstrom
Pm 0.000 0.000 0.000
Dy 3.762 3.762 3.762
In 5.644 5.644 5.644
Ag 1.881 1.881 1.881
CELL_PARAMETERS angstrom
0.000 3.762 3.762
3.762 0.000 3.762
3.762 3.762 0.000
! **Crystal system**: cubic
! **Space-group type**: F-43m

In order of decreasing stability: a, b.

## a
! PrDyInAg PBE relaxed; values from VASP
&SYSTEM
  ibrav = 0, nat = 4, ntyp = 4
/
ATOMIC_SPECIES
Pr 140.91 Pr.upf
Dy 162.50 Dy.upf
In 114.82 In.upf
Ag 107.87 Ag.upf
ATOMIC_POSITIONS angstrom
Pr 0.000 0.000 0.000
Dy 3.790 3.790 3.790
In 5.685 5.685 5.685
Ag 1.895 1.895 1.895
CELL_PARAMETERS angstrom
0.000 3.790 3.790
3.790 0.000 3.790
3.790 3.790 0.000
! **Crystal system**: cubic
! **Space-group type**: F-43m

## b
! PrDyInAg PBE relaxed; values from VASP
&SYSTEM
  ibrav = 0, nat = 4, ntyp = 4
/
ATOMIC_SPECIES
Pr 140.91 Pr.upf
Dy 162.50 Dy.upf
In 114.82 In.upf
Ag 107.87 Ag.upf
ATOMIC_POSITIONS angstrom
Pr 0.000 0.000 0.000
Dy 0.000 0.000 4.148
In 1.843 1.843 2.154
Ag 1.843 1.843 5.796
CELL_PARAMETERS angstrom
3.685 0.000 0.000
0.000 3.685 0.000
0.000 0.000 7.912
! **Crystal system**: tetragonal
! **Space-group type**: P4mm

In order of decreasing stability: b, a.